ZrVTeI2 after structural relaxation. Source: the Alexandria database, functional PBE.

Structure (CIF):
```
data_ZrVTeI2
_chemical_formula_sum 'Zr1 V1 Te1 I2'
_cell_length_a 5.6993
_cell_length_b 5.6993
_cell_length_c 5.6935
_cell_angle_alpha 90.00
_cell_angle_beta 90.00
_cell_angle_gamma 90.00
_symmetry_space_group_name_H-M 'P 4/m m m'
_symmetry_Int_Tables_number 123
_symmetry_space_group_name_Hall '-P 4 2'
loop_
_atom_site_label
_atom_site_type_symbol
_atom_site_fract_x
_atom_site_fract_y
_atom_site_fract_z
Zr1 Zr 0.0000 0.0000 0.0000
V1 V 0.5000 0.5000 0.5000
Te1 Te 0.0000 0.0000 0.5000
I1 I 0.0000 0.5000 0.0000
```

Properties
**Distance to the lowest polymorph of the same formula**: 0.000 eV per atom
**Total magnetic moment**: 0.9015 μB per atom
**V**: 184.9 Å³/cell
**Energy relative to the elements, uncorrected**: 322 meV per atom